This record from Alexandria via LeMat-Bulk describes YLuIr4 after structural relaxation. The functional is PBE.

a = 7.5523 Å, b = 7.5523 Å, c = 7.5523 Å
α = 90.00°, β = 90.00°, γ = 90.00°
Space group F-43m (No. 216)
Inequivalent atoms, fractional coordinates:
Y1 0.0000 0.0000 0.0000 [4 per cell]
Lu1 0.2500 0.2500 0.7500 [4 per cell]
Ir1 0.1249 0.1249 0.3751 [16 per cell]

## Properties
Total magnetization in Bohr magnetons per cell: 0.00
DOS(E_F) in states/eV/atom: 0.7813
ΔH_f (0 K) in meV per atom: -812

This record from Alexandria via LeMat-Bulk describes ZnIBr2 after structural relaxation. The functional is PBE.

a = 3.3864 Å, b = 7.0177 Å, c = 7.7981 Å
α = 63.44°, β = 78.97°, γ = 89.25°
Space group P1 (No. 1)
Inequivalent atoms, fractional coordinates:
Zn1 0.0000 0.0000 0.0000 [1 per cell]
I1 0.1441 0.9521 0.6750 [1 per cell]
Br1 0.4978 0.2513 0.9897 [1 per cell]
Br2 0.8844 0.6617 0.2853 [1 per cell]

## Properties
Total magnetization in Bohr magnetons per cell: 0.17
DOS(E_F) in states/eV/atom: 0.3527
Distance to the lowest polymorph of the same formula in meV per atom: 137
Energy relative to the elements, uncorrected in eV/atom: -0.50